VASP calculation (PBE) on a relaxed Ce2ZnCo3Ge4 crystal.

Cell and atoms, written as POSCAR:
```
Ce2ZnCo3Ge4
1.0
4.118 0.000 0.000
0.000 4.118 0.000
0.000 0.000 9.899
Ce Zn Co Ge
2 1 3 4
Cartesian
0.000 2.059 2.393
2.059 0.000 7.506
0.000 0.000 4.950
0.000 2.059 8.691
2.059 0.000 1.208
2.059 2.059 4.950
0.000 0.000 0.000
0.000 2.059 6.360
2.059 0.000 3.539
2.059 2.059 0.000
```

Computed properties:
DFT formation energy: -545 meV/atom
V: 168 Å³/cell
Space-group type: P-4m2, No. 115